Entry 1:
# Na3Pb5 (GGA-PBE, optimized geometry)
data_Na3Pb5
_cell_length_a 6.970
_cell_length_b 6.970
_cell_length_c 4.826
_cell_angle_alpha 90.00
_cell_angle_beta 90.00
_cell_angle_gamma 91.54
_space_group_name_H-M_alt 'P 1'
_space_group_IT_number 1
_space_group_name_Hall 'P 1'
loop_
_atom_site_label
_atom_site_fract_x
_atom_site_fract_y
_atom_site_fract_z
Na1 0.000 0.000 0.000
Na2 0.256 0.256 0.500
Na3 0.744 0.744 0.500
Pb1 0.000 0.500 0.000
Pb2 0.247 0.753 0.500
Pb3 0.500 0.000 0.000
Pb4 0.500 0.500 0.000
Pb5 0.753 0.247 0.500
# Energy relative to the lowest polymorph listed for this composition: 0.00 kJ/mol of atoms
# ΔH_f (0 K): -0.954 eV/f.u.
# SG: No. 65

=====

Entry 2:
# BaAc2TcN4 (GGA-PBE, optimized geometry)
data_BaAc2TcN4
_cell_length_a 6.892
_cell_length_b 6.892
_cell_length_c 13.084
_cell_angle_alpha 90.00
_cell_angle_beta 90.00
_cell_angle_gamma 148.72
_space_group_name_H-M_alt 'P 1'
_space_group_IT_number 1
_space_group_name_Hall 'P 1'
loop_
_atom_site_label
_atom_site_fract_x
_atom_site_fract_y
_atom_site_fract_z
Ba1 0.058 0.942 0.750
Ba2 0.942 0.058 0.250
Ac1 0.370 0.630 0.542
Ac2 0.370 0.630 0.958
Ac3 0.630 0.370 0.042
Ac4 0.630 0.370 0.458
Tc1 0.195 0.805 0.250
Tc2 0.805 0.195 0.750
N1 0.000 0.000 0.000
N2 0.000 0.000 0.500
N3 0.258 0.742 0.124
N4 0.258 0.742 0.376
N5 0.388 0.612 0.750
N6 0.612 0.388 0.250
N7 0.742 0.258 0.624
N8 0.742 0.258 0.876
# Formation energy without anion corrections: -65.9 kJ per mole of atoms
# SG: No. 63

=====

Entry 3:
# HfWSe3 (GGA-PBE, optimized geometry)
data_HfWSe3
_cell_length_a 5.116
_cell_length_b 5.116
_cell_length_c 5.116
_cell_angle_alpha 90.00
_cell_angle_beta 90.00
_cell_angle_gamma 90.00
_space_group_name_H-M_alt 'P 1'
_space_group_IT_number 1
_space_group_name_Hall 'P 1'
loop_
_atom_site_label
_atom_site_fract_x
_atom_site_fract_y
_atom_site_fract_z
Hf1 0.000 0.000 0.000
W1 0.500 0.500 0.500
Se1 0.000 0.000 0.500
Se2 0.000 0.500 0.000
Se3 0.500 0.000 0.000
# Energy relative to the lowest polymorph listed for this composition: 12.62 kJ/mol of atoms
# Formation energy without anion corrections: 62.0 kJ per mole of atoms
# SG: No. 221

=====

Entry 4:
# CsBaLa2 (GGA-PBE, optimized geometry)
data_CsBaLa2
_cell_length_a 8.035
_cell_length_b 8.035
_cell_length_c 8.035
_cell_angle_alpha 101.79
_cell_angle_beta 101.79
_cell_angle_gamma 126.24
_space_group_name_H-M_alt 'P 1'
_space_group_IT_number 1
_space_group_name_Hall 'P 1'
loop_
_atom_site_label
_atom_site_fract_x
_atom_site_fract_y
_atom_site_fract_z
Cs1 0.000 0.000 0.000
Cs2 0.750 0.250 0.500
Ba1 0.250 0.750 0.500
Ba2 0.500 0.500 0.000
La1 0.102 0.125 0.477
La2 0.375 0.898 0.023
La3 0.648 0.625 0.523
La4 0.875 0.352 0.977
# Energy relative to the lowest polymorph listed for this composition: 6.80 kJ/mol of atoms
# ΔH_f (0 K): 2.601 eV/f.u.
# SG: No. 122

=====

Entry 5:
# CeH6RhAu (GGA-PBE, optimized geometry)
data_CeH6RhAu
_cell_length_a 4.820
_cell_length_b 4.820
_cell_length_c 4.369
_cell_angle_alpha 90.00
_cell_angle_beta 90.00
_cell_angle_gamma 120.00
_space_group_name_H-M_alt 'P 1'
_space_group_IT_number 1
_space_group_name_Hall 'P 1'
loop_
_atom_site_label
_atom_site_fract_x
_atom_site_fract_y
_atom_site_fract_z
Ce1 0.000 0.000 0.000
H1 0.515 0.030 0.227
H2 0.515 0.030 0.773
H3 0.515 0.485 0.227
H4 0.515 0.485 0.773
H5 0.970 0.485 0.227
H6 0.970 0.485 0.773
Rh1 0.667 0.333 0.500
Au1 0.333 0.667 0.500
# VASP energy: -4.299 eV/atom
# SG: No. 187

=====

Entry 6:
# MgCdRh2 (GGA-PBE, optimized geometry)
data_MgCdRh2
_cell_length_a 4.720
_cell_length_b 4.720
_cell_length_c 5.026
_cell_angle_alpha 100.79
_cell_angle_beta 100.79
_cell_angle_gamma 36.12
_space_group_name_H-M_alt 'P 1'
_space_group_IT_number 1
_space_group_name_Hall 'P 1'
loop_
_atom_site_label
_atom_site_fract_x
_atom_site_fract_y
_atom_site_fract_z
Mg1 0.000 0.000 0.000
Cd1 0.500 0.500 0.500
Rh1 0.254 0.254 0.764
Rh2 0.746 0.746 0.236
# ΔH_f (0 K): -0.722 eV/f.u.
# SG: No. 12

=====

Entry 7:
# PrAgAu2 (GGA-PBE, optimized geometry)
data_PrAgAu2
_cell_length_a 3.659
_cell_length_b 3.659
_cell_length_c 6.615
_cell_angle_alpha 90.00
_cell_angle_beta 90.00
_cell_angle_gamma 90.00
_space_group_name_H-M_alt 'P 1'
_space_group_IT_number 1
_space_group_name_Hall 'P 1'
loop_
_atom_site_label
_atom_site_fract_x
_atom_site_fract_y
_atom_site_fract_z
Pr1 0.000 0.000 0.000
Ag1 0.000 0.000 0.500
Au1 0.500 0.500 0.278
Au2 0.500 0.500 0.722
# ΔH_f (0 K): -1.921 eV/f.u.
# SG: No. 123

=====

Entry 8:
# ZrSc (GGA-PBE, optimized geometry)
data_ZrSc
_cell_length_a 5.140
_cell_length_b 3.228
_cell_length_c 5.684
_cell_angle_alpha 90.00
_cell_angle_beta 90.00
_cell_angle_gamma 90.00
_space_group_name_H-M_alt 'P 1'
_space_group_IT_number 1
_space_group_name_Hall 'P 1'
loop_
_atom_site_label
_atom_site_fract_x
_atom_site_fract_y
_atom_site_fract_z
Zr1 0.250 0.000 0.164
Zr2 0.750 0.000 0.836
Sc1 0.250 0.500 0.662
Sc2 0.750 0.500 0.338
# ΔH_f (0 K): -0.033 eV/f.u.
# SG: No. 51

=====

Entry 9:
# Cs3BeN (GGA-PBE, optimized geometry)
data_Cs3BeN
_cell_length_a 6.051
_cell_length_b 6.051
_cell_length_c 6.051
_cell_angle_alpha 90.00
_cell_angle_beta 90.00
_cell_angle_gamma 90.00
_space_group_name_H-M_alt 'P 1'
_space_group_IT_number 1
_space_group_name_Hall 'P 1'
loop_
_atom_site_label
_atom_site_fract_x
_atom_site_fract_y
_atom_site_fract_z
Cs1 0.000 0.000 0.500
Cs2 0.000 0.500 0.000
Cs3 0.500 0.000 0.000
Be1 0.500 0.500 0.500
N1 0.000 0.000 0.000
# Formation energy without anion corrections: 96.1 kJ per mole of atoms
# SG: No. 221

=====

Entry 10:
# ErTh5Se6 (GGA-PBE, optimized geometry)
data_ErTh5Se6
_cell_length_a 7.234
_cell_length_b 7.234
_cell_length_c 7.219
_cell_angle_alpha 99.58
_cell_angle_beta 99.58
_cell_angle_gamma 119.74
_space_group_name_H-M_alt 'P 1'
_space_group_IT_number 1
_space_group_name_Hall 'P 1'
loop_
_atom_site_label
_atom_site_fract_x
_atom_site_fract_y
_atom_site_fract_z
Er1 0.000 0.000 0.000
Th1 0.174 0.826 0.500
Th2 0.335 0.665 0.000
Th3 0.500 0.500 0.500
Th4 0.665 0.335 0.000
Th5 0.826 0.174 0.500
Se1 0.079 0.401 0.240
Se2 0.238 0.238 0.750
Se3 0.401 0.079 0.240
Se4 0.599 0.921 0.760
Se5 0.762 0.762 0.250
Se6 0.921 0.599 0.760
# Formation energy without anion corrections: -150.6 kJ per mole of atoms
# SG: No. 12

=====

Entry 11:
# Ca2PIr (GGA-PBE, optimized geometry)
data_Ca2PIr
_cell_length_a 5.058
_cell_length_b 5.058
_cell_length_c 5.058
_cell_angle_alpha 126.80
_cell_angle_beta 126.80
_cell_angle_gamma 78.58
_space_group_name_H-M_alt 'P 1'
_space_group_IT_number 1
_space_group_name_Hall 'P 1'
loop_
_atom_site_label
_atom_site_fract_x
_atom_site_fract_y
_atom_site_fract_z
Ca1 0.250 0.750 0.500
Ca2 0.750 0.250 0.500
P1 0.000 0.000 0.000
Ir1 0.500 0.500 0.000
# ΔH_f (0 K): -1.663 eV/f.u.
# SG: No. 139

=====

Entry 12:
# Pr3InSi2Rh9 (GGA-PBE, optimized geometry)
data_Pr3InSi2Rh9
_cell_length_a 6.125
_cell_length_b 6.125
_cell_length_c 9.610
_cell_angle_alpha 90.00
_cell_angle_beta 90.00
_cell_angle_gamma 120.00
_space_group_name_H-M_alt 'P 1'
_space_group_IT_number 1
_space_group_name_Hall 'P 1'
loop_
_atom_site_label
_atom_site_fract_x
_atom_site_fract_y
_atom_site_fract_z
Pr1 0.000 0.000 0.000
Pr2 0.333 0.667 0.720
Pr3 0.667 0.333 0.280
In1 0.000 0.000 0.500
Si1 0.333 0.667 0.158
Si2 0.667 0.333 0.842
Rh1 0.000 0.500 0.000
Rh2 0.147 0.293 0.267
Rh3 0.147 0.853 0.267
Rh4 0.293 0.147 0.733
Rh5 0.500 0.000 0.000
Rh6 0.500 0.500 0.000
Rh7 0.707 0.853 0.267
Rh8 0.853 0.147 0.733
Rh9 0.853 0.707 0.733
# Formation energy without anion corrections: -45.6 kJ per mole of atoms
# SG: No. 164

=====

Entry 13:
# HgRhO2 (GGA-PBE, optimized geometry)
data_HgRhO2
_cell_length_a 12.941
_cell_length_b 12.941
_cell_length_c 3.687
_cell_angle_alpha 90.00
_cell_angle_beta 90.00
_cell_angle_gamma 167.82
_space_group_name_H-M_alt 'P 1'
_space_group_IT_number 1
_space_group_name_Hall 'P 1'
loop_
_atom_site_label
_atom_site_fract_x
_atom_site_fract_y
_atom_site_fract_z
Hg1 0.070 0.930 0.750
Hg2 0.930 0.070 0.250
Rh1 0.300 0.700 0.750
Rh2 0.700 0.300 0.250
O1 0.145 0.855 0.250
O2 0.223 0.777 0.750
O3 0.777 0.223 0.250
O4 0.855 0.145 0.750
# Formation energy without anion corrections: -14.8 kJ per mole of atoms
# SG: No. 63

=====

Entry 14:
# Cs3YHf (GGA-PBE, optimized geometry)
data_Cs3YHf
_cell_length_a 7.066
_cell_length_b 7.066
_cell_length_c 7.066
_cell_angle_alpha 90.00
_cell_angle_beta 90.00
_cell_angle_gamma 90.00
_space_group_name_H-M_alt 'P 1'
_space_group_IT_number 1
_space_group_name_Hall 'P 1'
loop_
_atom_site_label
_atom_site_fract_x
_atom_site_fract_y
_atom_site_fract_z
Cs1 0.000 0.000 0.500
Cs2 0.000 0.500 0.000
Cs3 0.500 0.000 0.000
Y1 0.000 0.000 0.000
Hf1 0.500 0.500 0.500
# ΔH_f (0 K): 8.816 eV/f.u.
# SG: No. 221

=====

Entry 15:
# K3Tl2PdO6 (GGA-PBE, optimized geometry)
data_K3Tl2PdO6
_cell_length_a 6.028
_cell_length_b 6.028
_cell_length_c 6.356
_cell_angle_alpha 98.35
_cell_angle_beta 98.35
_cell_angle_gamma 121.45
_space_group_name_H-M_alt 'P 1'
_space_group_IT_number 1
_space_group_name_Hall 'P 1'
loop_
_atom_site_label
_atom_site_fract_x
_atom_site_fract_y
_atom_site_fract_z
K1 0.000 0.000 0.000
K2 0.336 0.664 0.000
K3 0.664 0.336 0.000
Tl1 0.168 0.832 0.500
Tl2 0.832 0.168 0.500
Pd1 0.500 0.500 0.500
O1 0.114 0.432 0.306
O2 0.263 0.263 0.682
O3 0.432 0.114 0.306
O4 0.568 0.886 0.694
O5 0.737 0.737 0.318
O6 0.886 0.568 0.694
# Formation energy without anion corrections: -90.3 kJ per mole of atoms
# SG: No. 12

=====

Entry 16:
# BeSiAgRh2 (GGA-PBE, optimized geometry)
data_BeSiAgRh2
_cell_length_a 4.180
_cell_length_b 4.180
_cell_length_c 4.079
_cell_angle_alpha 90.00
_cell_angle_beta 90.00
_cell_angle_gamma 90.00
_space_group_name_H-M_alt 'P 1'
_space_group_IT_number 1
_space_group_name_Hall 'P 1'
loop_
_atom_site_label
_atom_site_fract_x
_atom_site_fract_y
_atom_site_fract_z
Be1 0.000 0.000 0.000
Si1 0.000 0.000 0.500
Ag1 0.500 0.500 0.500
Rh1 0.000 0.500 0.000
Rh2 0.500 0.000 0.000
# Formation energy without anion corrections: 19.5 kJ per mole of atoms
# SG: No. 123

=====

Entry 17:
# PuIn (GGA-PBE, optimized geometry)
data_PuIn
_cell_length_a 5.130
_cell_length_b 3.513
_cell_length_c 5.362
_cell_angle_alpha 90.00
_cell_angle_beta 105.53
_cell_angle_gamma 90.00
_space_group_name_H-M_alt 'P 1'
_space_group_IT_number 1
_space_group_name_Hall 'P 1'
loop_
_atom_site_label
_atom_site_fract_x
_atom_site_fract_y
_atom_site_fract_z
Pu1 0.151 0.250 0.024
Pu2 0.849 0.750 0.976
In1 0.265 0.750 0.564
In2 0.735 0.250 0.436
# ΔH_f (0 K): 0.303 eV/f.u.
# SG: No. 11

=====

Entry 18:
# ZnOs (GGA-PBE, optimized geometry)
data_ZnOs
_cell_length_a 6.764
_cell_length_b 6.764
_cell_length_c 6.764
_cell_angle_alpha 109.47
_cell_angle_beta 109.47
_cell_angle_gamma 109.47
_space_group_name_H-M_alt 'P 1'
_space_group_IT_number 1
_space_group_name_Hall 'P 1'
loop_
_atom_site_label
_atom_site_fract_x
_atom_site_fract_y
_atom_site_fract_z
Zn1 0.000 0.000 0.597
Zn2 0.000 0.597 0.000
Zn3 0.403 0.403 0.403
Zn4 0.597 0.000 0.000
Os1 0.000 0.000 0.228
Os2 0.000 0.228 0.000
Os3 0.228 0.000 0.000
Os4 0.772 0.772 0.772
# ΔH_f (0 K): 3.100 eV/f.u.
# SG: No. 217

=====

Entry 19:
# TaTl (GGA-PBE, optimized geometry)
data_TaTl
_cell_length_a 5.148
_cell_length_b 3.031
_cell_length_c 5.342
_cell_angle_alpha 90.00
_cell_angle_beta 90.00
_cell_angle_gamma 90.00
_space_group_name_H-M_alt 'P 1'
_space_group_IT_number 1
_space_group_name_Hall 'P 1'
loop_
_atom_site_label
_atom_site_fract_x
_atom_site_fract_y
_atom_site_fract_z
Ta1 0.250 0.000 0.136
Ta2 0.750 0.000 0.864
Tl1 0.250 0.500 0.653
Tl2 0.750 0.500 0.347
# Energy relative to the lowest polymorph listed for this composition: 20.30 kJ/mol of atoms
# ΔH_f (0 K): 1.339 eV/f.u.
# SG: No. 51

=====

Entry 20:
# KTl2Br (GGA-PBE, optimized geometry)
data_KTl2Br
_cell_length_a 6.617
_cell_length_b 6.617
_cell_length_c 3.840
_cell_angle_alpha 90.00
_cell_angle_beta 90.00
_cell_angle_gamma 122.08
_space_group_name_H-M_alt 'P 1'
_space_group_IT_number 1
_space_group_name_Hall 'P 1'
loop_
_atom_site_label
_atom_site_fract_x
_atom_site_fract_y
_atom_site_fract_z
K1 0.000 0.000 0.000
Tl1 0.000 0.500 0.500
Tl2 0.500 0.000 0.500
Br1 0.500 0.500 0.000
# Energy relative to the lowest polymorph listed for this composition: 17.56 kJ/mol of atoms
# Formation energy without anion corrections: -41.8 kJ per mole of atoms
# SG: No. 65

=====

Entry 21:
# La12SmHg6 (GGA-PBE, optimized geometry)
data_La12SmHg6
_cell_length_a 8.402
_cell_length_b 8.402
_cell_length_c 8.402
_cell_angle_alpha 88.82
_cell_angle_beta 88.82
_cell_angle_gamma 88.82
_space_group_name_H-M_alt 'P 1'
_space_group_IT_number 1
_space_group_name_Hall 'P 1'
loop_
_atom_site_label
_atom_site_fract_x
_atom_site_fract_y
_atom_site_fract_z
La1 0.036 0.317 0.926
La2 0.074 0.964 0.683
La3 0.104 0.348 0.437
La4 0.317 0.926 0.036
La5 0.348 0.437 0.104
La6 0.437 0.104 0.348
La7 0.563 0.896 0.652
La8 0.652 0.563 0.896
La9 0.683 0.074 0.964
La10 0.896 0.652 0.563
La11 0.926 0.036 0.317
La12 0.964 0.683 0.074
Sm1 0.500 0.500 0.500
Hg1 0.232 0.746 0.378
Hg2 0.254 0.622 0.768
Hg3 0.378 0.232 0.746
Hg4 0.622 0.768 0.254
Hg5 0.746 0.378 0.232
Hg6 0.768 0.254 0.622
# ΔH_f (0 K): -4.466 eV/f.u.
# SG: No. 148

=====

Entry 22:
# Ca5TaN4Cl2 (GGA-PBE, optimized geometry)
data_Ca5TaN4Cl2
_cell_length_a 7.721
_cell_length_b 5.694
_cell_length_c 5.694
_cell_angle_alpha 115.78
_cell_angle_beta 90.00
_cell_angle_gamma 90.00
_space_group_name_H-M_alt 'P 1'
_space_group_IT_number 1
_space_group_name_Hall 'P 1'
loop_
_atom_site_label
_atom_site_fract_x
_atom_site_fract_y
_atom_site_fract_z
Ca1 0.000 0.000 0.000
Ca2 0.300 0.195 0.550
Ca3 0.300 0.550 0.195
Ca4 0.700 0.195 0.550
Ca5 0.700 0.550 0.195
Ta1 0.500 0.886 0.886
N1 0.297 0.087 0.087
N2 0.500 0.524 0.859
N3 0.500 0.859 0.524
N4 0.703 0.087 0.087
Cl1 0.000 0.461 0.870
Cl2 0.000 0.870 0.461
# Formation energy without anion corrections: -128.3 kJ per mole of atoms
# SG: No. 38

=====

Entry 23:
# YBr2 (GGA-PBE, optimized geometry)
data_YBr2
_cell_length_a 9.173
_cell_length_b 9.173
_cell_length_c 5.762
_cell_angle_alpha 90.00
_cell_angle_beta 90.00
_cell_angle_gamma 155.19
_space_group_name_H-M_alt 'P 1'
_space_group_IT_number 1
_space_group_name_Hall 'P 1'
loop_
_atom_site_label
_atom_site_fract_x
_atom_site_fract_y
_atom_site_fract_z
Y1 0.200 0.800 0.750
Y2 0.800 0.200 0.250
Br1 0.178 0.822 0.250
Br2 0.412 0.588 0.250
Br3 0.588 0.412 0.750
Br4 0.822 0.178 0.750
# Formation energy without anion corrections: -148.0 kJ per mole of atoms
# SG: No. 63

=====

Entry 24:
# Tb2Nd6Sm3 (GGA-PBE, optimized geometry)
data_Tb2Nd6Sm3
_cell_length_a 17.363
_cell_length_b 17.363
_cell_length_c 17.363
_cell_angle_alpha 164.07
_cell_angle_beta 164.07
_cell_angle_gamma 22.61
_space_group_name_H-M_alt 'P 1'
_space_group_IT_number 1
_space_group_name_Hall 'P 1'
loop_
_atom_site_label
_atom_site_fract_x
_atom_site_fract_y
_atom_site_fract_z
Tb1 0.045 0.045 0.000
Tb2 0.955 0.955 0.000
Nd1 0.120 0.620 0.500
Nd2 0.203 0.203 0.000
Nd3 0.380 0.880 0.500
Nd4 0.620 0.120 0.500
Nd5 0.797 0.797 0.000
Nd6 0.880 0.380 0.500
Sm1 0.303 0.303 0.000
Sm2 0.500 0.500 0.000
Sm3 0.697 0.697 0.000
# Energy relative to the lowest polymorph listed for this composition: 25.48 kJ/mol of atoms
# ΔH_f (0 K): 3.031 eV/f.u.
# SG: No. 139